Compound: CaMo2F
Source: Alexandria via LeMat-Bulk
Functional: PBE+U
Structure: optimized geometry

Cell and atoms, written as POSCAR:
```
CaMo2F
1.0
-5.0706 -1.3189 -0.3507
-3.3148 1.2610 3.8724
-3.6327 3.7149 -0.7591
Ca Mo F
1 2 1
Cartesian
-6.0091 1.8285 1.3813 Ca
-9.0136 2.7428 2.0720 Mo
-3.0045 0.9143 0.6907 Mo
0.0000 0.0000 0.0000 F
```

Properties
D(E_F) ... 3.12 states/eV/f.u.
V ... 102.38 Å³ per cell
Raw total energy ... -3.763 eV/atom